(1)
Compound: Li2SiMo
Source: Alexandria via LeMat-Bulk
Functional: GGA-PBE
Structure: relaxed

## Properties
**Raw formation energy**: 15 kJ/mol of formula units
**Crystal system**: tetragonal

Cell: 2.689 2.689 8.657 Å, 90.00 90.00 90.00°
Space group P4mm (No. 99)
Symmetry-distinct sites (fractional):
Li: 0.000 0.000 0.000 (multiplicity 1)
Li: 0.500 0.500 0.301 (multiplicity 1)
Si: 0.500 0.500 0.777 (multiplicity 1)
Mo: 0.000 0.000 0.560 (multiplicity 1)

(2)
Compound: BeTlPt2
Source: Alexandria via LeMat-Bulk
Functional: GGA-PBE
Structure: relaxed

## Properties
**Energy relative to the lowest polymorph listed for this composition**: 443 meV per atom
**Energy relative to the elements**: 0.1480 eV/atom
**Crystal system**: cubic

Cell: 6.374 6.374 6.374 Å, 90.00 90.00 90.00°
Space group F-43m (No. 216)
Symmetry-distinct sites (fractional):
Be: 0.000 0.000 0.000 (multiplicity 4)
Tl: 0.250 0.250 0.750 (multiplicity 4)
Pt: 0.000 0.000 0.500 (multiplicity 4)
Pt: 0.250 0.250 0.250 (multiplicity 4)

(3)
Compound: TbPrAlHg
Source: Alexandria via LeMat-Bulk
Functional: GGA-PBE
Structure: relaxed

## Properties
**Energy relative to the lowest polymorph listed for this composition**: 47 meV per atom
**Energy relative to the elements**: -0.3810 eV/atom
**Crystal system**: cubic

Cell: 7.538 7.538 7.538 Å, 90.00 90.00 90.00°
Space group F-43m (No. 216)
Symmetry-distinct sites (fractional):
Tb: 0.000 0.000 0.000 (multiplicity 4)
Pr: 0.000 0.000 0.500 (multiplicity 4)
Al: 0.250 0.250 0.250 (multiplicity 4)
Hg: 0.250 0.250 0.750 (multiplicity 4)

(4)
Compound: NpTc4Mo
Source: Alexandria via LeMat-Bulk
Functional: GGA-PBE
Structure: relaxed

## Properties
**Energy relative to the elements**: 0.2994 eV/atom
**Crystal system**: cubic

Cell: 7.404 7.404 7.404 Å, 90.00 90.00 90.00°
Space group F-43m (No. 216)
Symmetry-distinct sites (fractional):
Np: 0.000 0.000 0.000 (multiplicity 4)
Tc: 0.124 0.124 0.376 (multiplicity 16)
Mo: 0.250 0.250 0.750 (multiplicity 4)

(5)
Compound: MnPtSeN2
Source: Alexandria via LeMat-Bulk
Functional: GGA-PBE
Structure: relaxed

## Properties
**Raw formation energy**: 470 kJ/mol of formula units
**Energy relative to the lowest polymorph listed for this composition**: 265 meV per atom
**Crystal system**: tetragonal

Cell: 3.726 3.726 8.210 Å, 90.00 90.00 90.00°
Space group P4/mmm (No. 123)
Symmetry-distinct sites (fractional):
Mn: 0.000 0.000 0.000 (multiplicity 1)
Pt: 0.500 0.500 0.500 (multiplicity 1)
Se: 0.500 0.500 0.000 (multiplicity 1)
N: 0.000 0.500 0.500 (multiplicity 2)

(6)
Compound: AcGePt
Source: Alexandria via LeMat-Bulk
Functional: GGA-PBE
Structure: relaxed

## Properties
**Energy relative to the lowest polymorph listed for this composition**: 0 meV per atom
**Energy relative to the elements**: -1.0412 eV/atom
**Crystal system**: hexagonal

Cell: 4.4196 4.4196 4.4297 Å, 90.00 90.00 120.00°
Space group P-6m2 (No. 187)
Symmetry-distinct sites (fractional):
Ac: 0.0000 0.0000 0.0000 (multiplicity 1)
Ge: 0.3333 0.6667 0.5000 (multiplicity 1)
Pt: 0.6667 0.3333 0.5000 (multiplicity 1)